# Sc3Zn4Au4 | the Alexandria database | PBE-GGA | relaxed
# - Crystal system: orthorhombic
# - ρ: 9.5 g cm⁻³
# - E_tot: -42.737 eV per cell
# - V: 207.6 Å³/f.u.
# - N(E_F): 0.68 states/eV per atom
data_Sc3Zn4Au4
_chemical_formula_sum 'Sc3 Zn4 Au4'
_cell_length_a 8.799
_cell_length_b 8.799
_cell_length_c 8.799
_cell_angle_alpha 156.17
_cell_angle_beta 130.75
_cell_angle_gamma 55.43
_symmetry_space_group_name_H-M 'P 1'
_symmetry_Int_Tables_number 1
loop_
_symmetry_equiv_pos_as_xyz
'x,y,z'
loop_
_atom_site_label
_atom_site_type_symbol
_atom_site_fract_x
_atom_site_fract_y
_atom_site_fract_z
_atom_site_occupancy
Sc1 Sc 0.000 0.000 0.000 1
Sc2 Sc 0.387 0.887 0.500 1
Sc3 Sc 0.613 0.113 0.500 1
Zn1 Zn 0.027 0.340 0.687 1
Zn2 Zn 0.347 0.660 0.687 1
Zn3 Zn 0.653 0.340 0.313 1
Zn4 Zn 0.973 0.660 0.313 1
Au1 Au 0.245 0.245 0.000 1
Au2 Au 0.301 0.500 0.801 1
Au3 Au 0.699 0.500 0.199 1
Au4 Au 0.755 0.755 0.000 1

***

# Mg2ZnSi | the Alexandria database | PBE-GGA | relaxed
# - Formation energy from raw total energies: 9.1 kJ per mole of atoms
# - Crystal system: tetragonal
# - ρ: 3.2 g cm⁻³
# - E_tot: -9.510 eV per cell
# - V: 73.9 Å³/f.u.
# - N(E_F): 0.26 states/eV per atom
data_Mg2ZnSi
_chemical_formula_sum 'Mg2 Zn1 Si1'
_cell_length_a 3.577
_cell_length_b 3.577
_cell_length_c 5.777
_cell_angle_alpha 90.00
_cell_angle_beta 90.00
_cell_angle_gamma 90.00
_symmetry_space_group_name_H-M 'P 1'
_symmetry_Int_Tables_number 1
loop_
_symmetry_equiv_pos_as_xyz
'x,y,z'
loop_
_atom_site_label
_atom_site_type_symbol
_atom_site_fract_x
_atom_site_fract_y
_atom_site_fract_z
_atom_site_occupancy
Mg1 Mg 0.000 0.000 0.000 1
Mg2 Mg 0.500 0.500 0.293 1
Zn1 Zn 0.500 0.500 0.765 1
Si1 Si 0.000 0.000 0.523 1

***

# HoU3 | the Alexandria database | PBE-GGA | relaxed
# - Crystal system: tetragonal
# - ρ: 16.0 g cm⁻³
# - E_tot: -36.341 eV per cell
# - V: 91.4 Å³/f.u.
# - N(E_F): 3.05 states/eV per atom
data_HoU3
_chemical_formula_sum 'Ho1 U3'
_cell_length_a 5.645
_cell_length_b 5.645
_cell_length_c 5.645
_cell_angle_alpha 134.04
_cell_angle_beta 134.04
_cell_angle_gamma 67.02
_symmetry_space_group_name_H-M 'P 1'
_symmetry_Int_Tables_number 1
loop_
_symmetry_equiv_pos_as_xyz
'x,y,z'
loop_
_atom_site_label
_atom_site_type_symbol
_atom_site_fract_x
_atom_site_fract_y
_atom_site_fract_z
_atom_site_occupancy
Ho1 Ho 0.000 0.000 0.000 1
U1 U 0.250 0.750 0.500 1
U2 U 0.500 0.500 0.000 1
U3 U 0.750 0.250 0.500 1

***

# Li2ZrMn | the Alexandria database | PBE-GGA | relaxed
# - E above lowest polymorph: 167 meV per atom
# - Crystal system: orthorhombic
# - ρ: 3.9 g cm⁻³
# - E_tot: -20.125 eV per cell
# - V: 67.5 Å³/f.u.
# - N(E_F): 0.91 states/eV per atom
data_Li2ZrMn
_chemical_formula_sum 'Li2 Zr1 Mn1'
_cell_length_a 5.289
_cell_length_b 5.289
_cell_length_c 5.289
_cell_angle_alpha 145.49
_cell_angle_beta 125.33
_cell_angle_gamma 66.28
_symmetry_space_group_name_H-M 'P 1'
_symmetry_Int_Tables_number 1
loop_
_symmetry_equiv_pos_as_xyz
'x,y,z'
loop_
_atom_site_label
_atom_site_type_symbol
_atom_site_fract_x
_atom_site_fract_y
_atom_site_fract_z
_atom_site_occupancy
Li1 Li 0.000 0.000 0.000 1
Li2 Li 0.777 0.277 0.500 1
Zr1 Zr 0.497 0.497 0.000 1
Mn1 Mn 0.241 0.741 0.500 1

***

The lowest ρ belongs to which entry? Mg2ZnSi